[1]
Entry from the Alexandria database: crystalline Dy3Y7Zr at its relaxed geometry (PBE-GGA).

Cell lengths 9.747, 9.747, 13.114 Å; angles 100.86, 100.86, 138.55 degrees
Sites, in units of the cell vectors:
Dy1 0.001 0.499 0.751
Dy2 0.000 0.000 0.000
Dy3 0.000 0.000 0.500
Dy4 0.501 0.999 0.249
Dy5 0.499 0.001 0.751
Dy6 0.999 0.501 0.249
Y1 0.089 0.917 0.251
Y2 0.083 0.911 0.749
Y3 0.126 0.443 0.530
Y4 0.124 0.441 0.029
Y5 0.559 0.876 0.971
Y6 0.557 0.874 0.470
Y7 0.497 0.497 0.750
Y8 0.503 0.503 0.250
Y9 0.441 0.124 0.029
Y10 0.443 0.126 0.530
Y11 0.876 0.559 0.971
Y12 0.874 0.557 0.470
Y13 0.917 0.089 0.251
Y14 0.911 0.083 0.749
Zr1 0.500 0.500 0.000
Zr2 0.500 0.500 0.500

Values from the calculation:
- Symmetry: C2/m, No. 12
- Formation energy: 0.16 eV/atom

[2]
Entry from the Alexandria database: crystalline DyY2Zr at its relaxed geometry (PBE-GGA).

Cell lengths 3.452, 3.452, 11.508 Å; angles 81.37, 81.37, 60.00 degrees
Sites, in units of the cell vectors:
Y1 0.245 0.245 0.264
Y2 0.755 0.755 0.736
Zr1 0.500 0.500 0.500
Dy1 0.000 0.000 0.000

Values from the calculation:
- Symmetry: R-3m, No. 166
- Energy above the most stable polymorph in this dataset: 0.008 eV/atom
- Formation energy: 0.09 eV/atom

[3]
Entry from the Alexandria database: crystalline DyYZr2 at its relaxed geometry (PBE-GGA).

Cell lengths 3.940, 3.940, 6.880 Å; angles 90.00, 90.00, 90.00 degrees
Sites, in units of the cell vectors:
Y1 0.500 0.500 0.500
Zr1 0.000 0.000 0.772
Zr2 0.000 0.000 0.228
Dy1 0.500 0.500 0.000

Values from the calculation:
- Symmetry: P4/mmm, No. 123
- Energy above the most stable polymorph in this dataset: 0.108 eV/atom
- Formation energy: 0.23 eV/atom

[4]
Entry from the Alexandria database: crystalline DyYZr2 at its relaxed geometry (PBE-GGA).

Cell lengths 4.827, 4.707, 4.707 Å; angles 90.00, 90.00, 90.00 degrees
Sites, in units of the cell vectors:
Y1 0.500 0.500 0.500
Zr1 0.000 0.000 0.500
Zr2 0.000 0.500 0.000
Dy1 0.500 0.000 0.000

Values from the calculation:
- Symmetry: P4/mmm, No. 123
- Energy above the most stable polymorph in this dataset: 0.013 eV/atom
- Formation energy: 0.13 eV/atom

[5]
Entry from the Alexandria database: crystalline Dy14YZr at its relaxed geometry (PBE-GGA).

Cell lengths 7.042, 7.042, 9.928 Å; angles 90.00, 90.00, 90.00 degrees
Sites, in units of the cell vectors:
Dy1 0.375 0.625 0.500
Dy2 0.875 0.125 0.500
Dy3 0.875 0.625 0.000
Dy4 0.875 0.625 0.500
Dy5 0.375 0.125 0.000
Dy6 0.375 0.125 0.500
Dy7 0.630 0.880 0.755
Dy8 0.630 0.880 0.245
Dy9 0.120 0.370 0.755
Dy10 0.120 0.370 0.245
Dy11 0.120 0.880 0.755
Dy12 0.120 0.880 0.245
Dy13 0.630 0.370 0.755
Dy14 0.630 0.370 0.245
Y1 0.375 0.625 0.000
Zr1 0.875 0.125 0.000

Values from the calculation:
- Symmetry: P4/mmm, No. 123
- Formation energy: 0.04 eV/atom

[6]
Entry from the Alexandria database: crystalline Dy6Y3Zr at its relaxed geometry (PBE-GGA).

Cell lengths 4.913, 11.423, 12.427 Å; angles 90.00, 113.23, 90.00 degrees
Sites, in units of the cell vectors:
Dy1 0.357 0.857 0.857
Dy2 0.494 0.785 0.494
Dy3 0.216 0.506 0.215
Dy4 0.784 0.494 0.785
Dy5 0.506 0.215 0.506
Dy6 0.643 0.143 0.143
Dy7 0.857 0.643 0.357
Dy8 0.994 0.715 0.994
Dy9 0.716 0.994 0.715
Dy10 0.284 0.006 0.285
Dy11 0.006 0.285 0.006
Dy12 0.143 0.357 0.643
Y1 0.349 0.152 0.848
Y2 0.500 0.500 0.000
Y3 0.651 0.848 0.152
Y4 0.849 0.348 0.348
Y5 0.000 0.000 0.500
Y6 0.151 0.652 0.652
Zr1 0.500 0.500 0.500
Zr2 0.000 0.000 0.000

Values from the calculation:
- Symmetry: P2_1/c, No. 14
- Formation energy: 0.21 eV/atom

[7]
Entry from the Alexandria database: crystalline Dy3Y4Zr at its relaxed geometry (PBE-GGA).

Cell lengths 3.465, 5.573, 13.328 Å; angles 102.07, 90.01, 90.00 degrees
Sites, in units of the cell vectors:
Y1 0.500 0.400 0.800
Y2 0.500 0.600 0.200
Y3 0.500 0.722 0.444
Y4 0.500 0.278 0.556
Zr1 0.000 0.500 0.000
Dy1 0.500 0.000 0.000
Dy2 0.000 0.154 0.308
Dy3 0.000 0.846 0.692

Values from the calculation:
- Symmetry: Cmmm, No. 65
- Formation energy: 0.20 eV/atom

[8]
Entry from the Alexandria database: crystalline DyYZr at its relaxed geometry (PBE-GGA).

Cell lengths 3.439, 3.439, 16.832 Å; angles 84.14, 84.14, 60.00 degrees
Sites, in units of the cell vectors:
Y1 0.088 0.088 0.735
Y2 0.912 0.912 0.265
Dy1 0.638 0.638 0.086
Dy2 0.362 0.362 0.914
Zr1 0.191 0.191 0.428
Zr2 0.809 0.809 0.572

Values from the calculation:
- Symmetry: R-3m, No. 166
- Energy above the most stable polymorph in this dataset: 0.000 eV/atom
- Formation energy: 0.08 eV/atom